(1)
Material: CdSn2PtRh
Method: DFT, GGA-PBE
State: optimized geometry

```
CdSn2PtRh
1.0
5.0907 0.0000 0.0000
0.0000 5.1185 0.0000
0.0000 0.0000 5.0907
Rh Pt Sn Cd
1 1 2 1
direct
0.0000 0.5000 0.0000 Rh
0.0000 0.0000 0.0000 Pt
0.0000 0.0000 0.5000 Sn
0.5000 0.0000 0.0000 Sn
0.5000 0.5000 0.5000 Cd
```

Computed properties:
**Formation enthalpy at 0 K**: 0.4574 eV per atom
**Calculated density**: 8.11 g cm⁻³


(2)
Material: HfCuRh3
Method: DFT, GGA-PBE
State: optimized geometry

```
HfCuRh3
1.0
-2.0368 2.4212 -3.2223
-0.7100 -5.3003 -3.5338
-4.5611 1.7085 4.1669
Rh Cu Hf
6 2 2
direct
0.7500 0.1950 0.3897 Rh
0.2500 0.3897 0.1950 Rh
0.7500 0.1949 0.8051 Rh
0.7500 0.6103 0.8050 Rh
0.2500 0.8050 0.6103 Rh
0.2500 0.8051 0.1949 Rh
0.5000 0.0000 0.0000 Cu
0.0000 0.0000 0.0000 Cu
0.2500 0.3335 0.6665 Hf
0.7500 0.6665 0.3335 Hf
```

Computed properties:
**Energy above the lowest structure with this stoichiometry**: 0.000 eV/atom
**Formation enthalpy at 0 K**: -0.1043 eV per atom
**Calculated density**: 11.38 g cm⁻³


(3)
Material: NbBAs2Ru
Method: DFT, GGA-PBE
State: optimized geometry

```
NbBAs2Ru
1.0
4.9642 0.0000 0.0000
0.0000 4.7325 0.0000
0.0000 0.0000 4.9642
As Ru Nb B
2 1 1 1
direct
0.5000 0.0000 0.0000 As
0.0000 0.0000 0.5000 As
0.0000 0.5000 0.0000 Ru
0.0000 0.0000 0.0000 Nb
0.5000 0.5000 0.5000 B
```

Computed properties:
**Formation enthalpy at 0 K**: 1.7099 eV per atom
**Calculated density**: 5.05 g cm⁻³


(4)
Material: MgCoPd2
Method: DFT, GGA-PBE
State: optimized geometry

```
MgCoPd2
1.0
-1.6839 1.5927 1.7150
1.0590 -1.3655 2.3080
5.1210 4.8529 0.5214
Co Pd Mg
1 2 1
direct
0.5000 0.5000 0.0000 Co
0.0000 0.0000 0.7643 Pd
0.0000 0.0000 0.2357 Pd
0.5000 0.5000 0.5000 Mg
```

Computed properties:
**Formation enthalpy at 0 K**: -0.2710 eV per atom
**Calculated density**: 8.36 g cm⁻³


(5)
Material: VFeNi
Method: DFT, GGA-PBE
State: optimized geometry

```
VFeNi
1.0
2.4917 0.1188 0.0000
-0.2182 2.4850 0.0000
-1.1367 -1.3019 5.6584
Ni V Fe
1 1 1
direct
0.6695 0.6695 0.3390 Ni
0.0026 0.0026 0.0052 V
0.3279 0.3279 0.6559 Fe
```

Computed properties:
**Energy above the lowest structure with this stoichiometry**: 0.000 eV/atom
**Formation enthalpy at 0 K**: -0.0892 eV per atom
**Calculated density**: 7.81 g cm⁻³


(6)
Material: Hg2I2O5
Method: DFT, GGA-PBE
State: optimized geometry

```
Hg2I2O5
1.0
4.1863 0.0000 0.0000
-2.0932 6.7333 -0.7586
0.0000 -1.5977 7.9823
I O Hg
2 5 2
direct
0.1432 0.2864 0.9796 I
0.8568 0.7136 0.0204 I
0.6838 0.3676 0.0060 O
0.1033 0.2065 0.7514 O
0.8967 0.7935 0.2486 O
0.3162 0.6324 0.9940 O
0.0000 0.0000 0.0000 O
0.6369 0.2738 0.4508 Hg
0.3631 0.7262 0.5492 Hg
```

Computed properties:
**E**: -3.21 eV per atom
**Calculated density**: 5.55 g cm⁻³


(7)
Material: LiSmYHg
Method: DFT, GGA-PBE
State: optimized geometry

```
LiSmYHg
1.0
5.2836 0.0000 0.0000
2.6418 4.5758 0.0000
2.6418 1.5253 4.3141
Sm Li Y Hg
1 1 1 1
direct
0.2500 0.2500 0.2500 Sm
0.0000 0.0000 0.0000 Li
0.7500 0.7500 0.7500 Y
0.5000 0.5000 0.5000 Hg
```

Computed properties:
**Formation enthalpy at 0 K**: -0.2210 eV per atom
**Calculated density**: 7.11 g cm⁻³


(8)
Material: BeCo3Ir
Method: DFT, GGA-PBE
State: optimized geometry

```
BeCo3Ir
1.0
-2.4900 2.3319 -2.9554
-3.2786 0.3981 3.0764
1.8501 3.8439 1.4743
Co Be Ir
3 1 1
direct
0.5000 0.0000 0.0000 Co
0.0000 0.5000 0.0000 Co
0.0000 0.0000 0.5000 Co
0.5000 0.5000 0.5000 Be
0.0000 0.0000 0.0000 Ir
```

Computed properties:
**Energy above the lowest structure with this stoichiometry**: 1.176 eV/atom
**Formation enthalpy at 0 K**: 1.6474 eV per atom
**Calculated density**: 6.83 g cm⁻³


(9)
Material: Sm3Dy4Er
Method: DFT, GGA-PBE
State: optimized geometry

```
Sm3Dy4Er
1.0
-2.7568 -1.6018 1.3967
-1.5464 -2.5761 -6.0067
8.5094 -6.9080 4.5362
Dy Er Sm
4 1 3
direct
0.7402 0.2456 0.4803 Dy
0.1244 0.3652 0.2487 Dy
0.2598 0.7544 0.5197 Dy
0.8756 0.6348 0.7513 Dy
0.5000 0.0000 0.0000 Er
0.8744 0.1186 0.7488 Sm
0.1256 0.8814 0.2512 Sm
0.0000 0.5000 0.0000 Sm
```

Computed properties:
**Energy above the lowest structure with this stoichiometry**: 0.145 eV/atom
**Formation enthalpy at 0 K**: 0.1616 eV per atom
**Calculated density**: 8.01 g cm⁻³


(10)
Material: CrCoRh2
Method: DFT, GGA-PBE
State: optimized geometry

```
CrCoRh2
1.0
-2.0834 1.4886 0.4740
0.8482 -1.4278 2.0057
5.1676 6.4631 2.4155
Cr Rh Co
1 2 1
direct
0.5000 0.5000 0.7417 Cr
0.0000 0.0000 0.9840 Rh
0.5000 0.5000 0.2620 Rh
0.0000 0.0000 0.5123 Co
```

Computed properties:
**Formation enthalpy at 0 K**: 0.2436 eV per atom
**Calculated density**: 9.99 g cm⁻³


(11)
Material: CoOsCl2
Method: DFT, GGA-PBE
State: optimized geometry

```
CoOsCl2
1.0
2.8968 0.0000 0.0000
0.0000 2.8968 0.0000
0.0000 0.0000 8.3402
Cl Co Os
2 1 1
direct
0.5000 0.5000 0.3470 Cl
0.0000 0.0000 0.9149 Cl
0.0000 0.0000 0.5306 Co
0.5000 0.5000 0.7076 Os
```

Computed properties:
**Energy above the lowest structure with this stoichiometry**: 0.214 eV/atom
**Calculated density**: 7.59 g cm⁻³


(12)
Material: La2Tl8Pb
Method: DFT, GGA-PBE
State: optimized geometry

```
La2Tl8Pb
1.0
4.9323 0.0000 0.0000
0.0000 4.9323 0.0000
0.0000 0.0000 14.0467
La Tl Pb
2 8 1
direct
0.0000 0.0000 0.3274 La
0.0000 0.0000 0.6726 La
0.5000 0.0000 0.8441 Tl
0.0000 0.5000 0.1559 Tl
0.5000 0.0000 0.5000 Tl
0.0000 0.5000 0.5000 Tl
0.5000 0.5000 0.3296 Tl
0.5000 0.5000 0.6704 Tl
0.5000 0.0000 0.1559 Tl
0.0000 0.5000 0.8441 Tl
0.0000 0.0000 0.0000 Pb
```

Computed properties:
**Formation enthalpy at 0 K**: -0.1963 eV per atom
**Calculated density**: 10.30 g cm⁻³


(13)
Material: AgOs3
Method: DFT, GGA-PBE
State: optimized geometry

```
AgOs3
1.0
5.5423 0.0001 0.0000
-2.7711 4.7998 0.0000
0.0000 0.0000 9.0009
Ag Os
4 12
direct
0.0000 0.0000 0.0000 Ag
0.6667 0.3333 0.7500 Ag
0.0000 0.0000 0.5000 Ag
0.3333 0.6667 0.2500 Ag
0.5000 0.0000 0.0000 Os
0.8335 0.6672 0.2500 Os
0.3328 0.1665 0.2500 Os
0.1664 0.8336 0.7500 Os
0.8336 0.1664 0.2500 Os
0.5000 0.5000 0.0000 Os
0.5000 0.5000 0.5000 Os
0.0000 0.5000 0.0000 Os
0.0000 0.5000 0.5000 Os
0.6672 0.8335 0.7500 Os
0.5000 0.0000 0.5000 Os
0.1665 0.3328 0.7500 Os
```

Computed properties:
**Energy above the lowest structure with this stoichiometry**: 0.553 eV/atom
**Formation enthalpy at 0 K**: 0.8245 eV per atom
**Calculated density**: 18.82 g cm⁻³


(14)
Material: BeCrOs3
Method: DFT, GGA-PBE
State: optimized geometry

```
BeCrOs3
1.0
4.4100 0.0000 0.0000
0.0000 4.4100 0.0000
0.0000 0.0000 4.4100
Cr Os Be
1 3 1
direct
0.0000 0.0000 0.0000 Cr
0.0000 0.0000 0.5000 Os
0.0000 0.5000 0.0000 Os
0.5000 0.0000 0.0000 Os
0.5000 0.5000 0.5000 Be
```

Computed properties:
**Energy above the lowest structure with this stoichiometry**: 1.207 eV/atom
**Formation enthalpy at 0 K**: 1.9169 eV per atom
**Calculated density**: 12.23 g cm⁻³


(15)
Material: AlSO4
Method: DFT, GGA-PBE
State: optimized geometry

```
AlSO4
1.0
1.8043 -6.5016 -3.6873
2.4972 -4.5408 1.2115
-4.1041 1.7689 2.8897
O Al S
4 1 1
direct
0.6161 0.8704 0.3386 O
0.5135 0.3386 0.1296 O
0.7226 0.6614 0.8704 O
0.1478 0.1296 0.6614 O
0.7500 0.5000 0.5000 Al
0.5000 0.0000 0.0000 S
```

Computed properties:
**Energy above the lowest structure with this stoichiometry**: 0.000 eV/atom
**Calculated density**: 1.96 g cm⁻³


(16)
Material: La2Nd3Cu4
Method: DFT, GGA-PBE
State: optimized geometry

```
La2Nd3Cu4
1.0
-7.0055 -2.0848 2.8935
5.7710 -2.6648 5.6435
-0.4553 6.3135 3.4467
La Cu Nd
4 8 6
direct
0.9102 0.8128 0.8325 La
0.5898 0.1872 0.3325 La
0.0898 0.1872 0.1675 La
0.4102 0.8128 0.6675 La
0.1176 0.9222 0.4649 Cu
0.3778 0.5032 0.3885 Cu
0.3824 0.0778 0.9649 Cu
0.1222 0.4968 0.8885 Cu
0.8824 0.0778 0.5351 Cu
0.6222 0.4968 0.6115 Cu
0.8778 0.5032 0.1115 Cu
0.6176 0.9222 0.0351 Cu
0.0000 0.5000 0.5000 Nd
0.2518 0.7679 0.1631 Nd
0.5000 0.5000 0.0000 Nd
0.2482 0.2321 0.6631 Nd
0.7518 0.7679 0.3369 Nd
0.7482 0.2321 0.8369 Nd
```

Computed properties:
**Formation enthalpy at 0 K**: -0.1088 eV per atom
**Calculated density**: 6.92 g cm⁻³


(17)
Material: Ca2CdRh2
Method: DFT, GGA-PBE
State: optimized geometry

```
Ca2CdRh2
1.0
5.5759 0.0000 0.0000
-2.7879 5.0468 0.0437
0.0000 -2.2500 7.8741
Rh Cd Ca
4 2 4
direct
0.9809 0.2717 0.0047 Rh
0.0191 0.7283 0.9953 Rh
0.2908 0.2717 0.5047 Rh
0.7092 0.7283 0.4953 Rh
0.1508 0.0000 0.7500 Cd
0.8492 0.0000 0.2500 Cd
0.8013 0.2958 0.6477 Ca
0.4945 0.2958 0.1477 Ca
0.5055 0.7042 0.8523 Ca
0.1987 0.7042 0.3523 Ca
```

Computed properties:
**Formation enthalpy at 0 K**: -0.3800 eV per atom
**Calculated density**: 5.96 g cm⁻³


(18)
Material: HgIr2Ru
Method: DFT, GGA-PBE
State: optimized geometry

```
HgIr2Ru
1.0
7.2830 0.0000 0.0000
0.0000 7.2830 0.0000
3.6415 3.6415 2.6830
Hg Ru Ir
2 2 4
direct
0.0000 0.0000 0.0000 Hg
0.7500 0.2500 0.5000 Hg
0.2500 0.7500 0.5000 Ru
0.5000 0.5000 0.0000 Ru
0.5850 0.1250 0.2500 Ir
0.3750 0.4150 0.7500 Ir
0.1650 0.6250 0.2500 Ir
0.8750 0.8350 0.7500 Ir
```

Computed properties:
**Formation enthalpy at 0 K**: 0.8542 eV per atom
**Calculated density**: 16.01 g cm⁻³


(19)
Material: PaSeO2
Method: DFT, GGA-PBE
State: optimized geometry

```
PaSeO2
1.0
-6.2326 -3.8719 2.6567
-0.6567 -3.8482 -3.9922
8.1670 -9.0976 7.0906
Pa Se O
8 8 16
direct
0.6021 0.7262 0.4308 Pa
0.5939 0.7058 0.7054 Pa
0.0805 0.0796 0.1154 Pa
0.3979 0.2739 0.5692 Pa
0.9196 0.9204 0.8845 Pa
0.2630 0.2662 0.8261 Pa
0.4061 0.2942 0.2946 Pa
0.7371 0.7339 0.1740 Pa
0.6104 0.3574 0.8853 Se
0.0177 0.3669 0.6196 Se
0.4555 0.1376 0.0982 Se
0.3896 0.6426 0.1147 Se
0.9027 0.2807 0.4332 Se
0.5446 0.8624 0.9018 Se
0.0972 0.7190 0.5669 Se
0.9821 0.6327 0.3801 Se
0.4011 0.5071 0.4291 O
0.6126 0.9518 0.5652 O
0.6142 0.5135 0.2895 O
0.3792 0.0282 0.7019 O
0.5988 0.4929 0.5710 O
0.8774 0.8917 0.0390 O
0.3858 0.4865 0.7105 O
0.1799 0.2100 0.2476 O
0.0427 0.1268 0.7885 O
0.1227 0.1084 0.9610 O
0.1188 0.5964 0.8737 O
0.3874 0.0482 0.4348 O
0.9572 0.8736 0.2115 O
0.6208 0.9718 0.2982 O
0.8202 0.7898 0.7523 O
0.8813 0.4037 0.1263 O
```

Computed properties:
**Energy above the lowest structure with this stoichiometry**: 0.000 eV/atom
**Calculated density**: 7.52 g cm⁻³


(20)
Material: Ac6Ag2Ir
Method: DFT, GGA-PBE
State: optimized geometry

```
Ac6Ag2Ir
1.0
7.3882 0.0000 0.0671
0.0000 8.1222 0.0000
-0.8251 0.0000 11.2669
Ag Ac Ir
4 12 2
direct
0.4416 0.1065 0.2683 Ag
0.0584 0.6065 0.2317 Ag
0.5584 0.8935 0.7317 Ag
0.9416 0.3935 0.7683 Ag
0.6669 0.1848 0.9339 Ac
0.1669 0.3152 0.4339 Ac
0.8190 0.6916 0.9384 Ac
0.8566 0.9635 0.2493 Ac
0.1434 0.0365 0.7507 Ac
0.6434 0.4635 0.2507 Ac
0.8331 0.6848 0.5661 Ac
0.1810 0.3084 0.0616 Ac
0.6810 0.1916 0.5616 Ac
0.3331 0.8152 0.0661 Ac
0.3190 0.8084 0.4384 Ac
0.3566 0.5365 0.7493 Ac
0.5000 0.5000 0.0000 Ir
0.0000 0.0000 0.5000 Ir
```

Computed properties:
**Formation enthalpy at 0 K**: -0.2904 eV per atom
**Calculated density**: 8.69 g cm⁻³